The following is a meta-GGA SCAN calculation of SrCo2Ru at its PBEsol-relaxed geometry, from the Alexandria database.

abc: 4.509 4.509 3.012
angles: 90.00 90.00 90.00
Space group P4/mmm (No. 123)
Symmetry-distinct sites (fractional):
1 Sr 0.000 0.000 0.000 [1 per cell]
2 Co 0.000 0.500 0.500 [2 per cell]
3 Ru 0.500 0.500 0.000 [1 per cell]

Calculated values
Energy above the lowest structure with this stoichiometry (eV/atom): 0.480
Raw total energy (eV/atom): -22.26
Energy of formation from the pure elements (eV/atom): 0.671